[1]
# KNb3Si5, relaxed, DFT GGA-PBE
data_KNb3Si5
_chemical_formula_sum 'K1 Nb3 Si5'
_space_group_name_H-M_alt 'P 1'
_space_group_IT_number 1
_space_group_name_Hall 'P 1'
_cell_length_a 5.674
_cell_length_b 5.674
_cell_length_c 6.453
_cell_angle_alpha 90.00
_cell_angle_beta 90.00
_cell_angle_gamma 120.00
loop_
_atom_site_label
_atom_site_fract_x
_atom_site_fract_y
_atom_site_fract_z
Nb1 0.500 0.500 0.500
Nb2 0.500 0.000 0.500
Nb3 0.000 0.500 0.500
Si1 0.333 0.667 0.182
Si2 0.667 0.333 0.818
Si3 0.333 0.667 0.818
Si4 0.000 0.000 0.500
Si5 0.667 0.333 0.182
K1 0.000 0.000 0.000
# * energy: -59.276 eV for the cell shown
# * crystal system: hexagonal

=====

[2]
# KSmNb, relaxed, DFT GGA-PBE
data_KSmNb
_chemical_formula_sum 'K1 Sm1 Nb1'
_space_group_name_H-M_alt 'P 1'
_space_group_IT_number 1
_space_group_name_Hall 'P 1'
_cell_length_a 5.502
_cell_length_b 5.502
_cell_length_c 5.502
_cell_angle_alpha 60.00
_cell_angle_beta 60.00
_cell_angle_gamma 60.00
loop_
_atom_site_label
_atom_site_fract_x
_atom_site_fract_y
_atom_site_fract_z
Sm1 0.750 0.750 0.750
K1 0.250 0.250 0.250
Nb1 0.000 0.000 0.000
# * distance to the lowest polymorph of the same formula: 0 meV per atom
# * energy: -11.157 eV for the cell shown
# * crystal system: cubic

=====

[3]
# KSrNb, relaxed, DFT GGA-PBE
data_KSrNb
_chemical_formula_sum 'K1 Sr1 Nb1'
_space_group_name_H-M_alt 'P 1'
_space_group_IT_number 1
_space_group_name_Hall 'P 1'
_cell_length_a 5.877
_cell_length_b 5.877
_cell_length_c 5.877
_cell_angle_alpha 60.00
_cell_angle_beta 60.00
_cell_angle_gamma 60.00
loop_
_atom_site_label
_atom_site_fract_x
_atom_site_fract_y
_atom_site_fract_z
K1 0.250 0.250 0.250
Sr1 0.000 0.000 0.000
Nb1 0.750 0.750 0.750
# * energy: -8.072 eV for the cell shown
# * crystal system: cubic

=====

[4]
# KTaNb, relaxed, DFT GGA-PBE
data_KTaNb
_chemical_formula_sum 'K1 Ta1 Nb1'
_space_group_name_H-M_alt 'P 1'
_space_group_IT_number 1
_space_group_name_Hall 'P 1'
_cell_length_a 4.723
_cell_length_b 4.723
_cell_length_c 4.723
_cell_angle_alpha 60.00
_cell_angle_beta 60.00
_cell_angle_gamma 60.00
loop_
_atom_site_label
_atom_site_fract_x
_atom_site_fract_y
_atom_site_fract_z
Nb1 0.250 0.250 0.250
K1 0.000 0.000 0.000
Ta1 0.750 0.750 0.750
# * distance to the lowest polymorph of the same formula: 830 meV per atom
# * energy: -13.955 eV for the cell shown
# * crystal system: cubic